Below is crystalline NdMg2Bi3 at its relaxed geometry, with properties calculated at the GGA-PBE level.

theoretical density = 7.5 g/cm3
space group = Pmc2_1 (26)
total magnetization = 0.0 μB/f.u.
formation energy from the elements = -0.38 eV per atom

Cell: 4.407 6.733 12.160 Å, 90.00 90.00 90.00°
Fractional positions:
Bi (0.000, 0.843, 0.614)
Bi (0.500, 0.625, 0.927)
Bi (0.500, 0.210, 0.719)
Bi (0.500, 0.710, 0.281)
Bi (0.500, 0.125, 0.073)
Bi (0.000, 0.343, 0.386)
Mg (0.500, 0.033, 0.464)
Mg (0.000, 0.003, 0.234)
Mg (0.500, 0.533, 0.536)
Mg (0.000, 0.503, 0.766)
Nd (0.000, 0.488, 0.118)
Nd (0.000, 0.988, 0.882)